A geometry-optimized CrB2F8 structure. Source: the Alexandria database, functional PBE+U.

Unit cell a=5.7712 b=5.7712 c=4.8818 alpha=102.10 beta=102.10 gamma=65.61
Fractional positions:
Cr 0.0000 0.0000 0.0000
B 0.2003 0.2003 0.6655
B 0.7997 0.7997 0.3345
F 0.0469 0.6872 0.2412
F 0.1615 0.1615 0.3553
F 0.3128 0.9531 0.7588
F 0.3445 0.3445 0.7594
F 0.6555 0.6555 0.2406
F 0.6872 0.0469 0.2412
F 0.8385 0.8385 0.6447
F 0.9531 0.3128 0.7588

Summary:
volume: 13.0 Å³/atom
E above lowest polymorph: 22 meV per atom
uncorrected energy: -5.9870 eV/atom
symmetry: C2/m (12)